Record 1
{
  "formula": "Hf4SnAuC2",
  "functional": "GGA-PBE",
  "state": "optimized geometry",
  "volume_a3_per_atom": 17.03,
  "dft_energy_ha_per_atom": -0.3286,
  "total_magnetization_mub_per_atom": 0.00,
  "space_group": "P-6m2, No. 187",
  "cell": [[3.313, 0.000, 0.000], [-1.657, 2.869, 0.000], [0.000, 0.000, 14.333]],
  "species": ["Au", "C", "C", "Hf", "Hf", "Hf", "Hf", "Sn"],
  "fractional_positions": [[0.000, 0.000, 0.000], [0.333, 0.667, 0.246], [0.333, 0.667, 0.754], [0.667, 0.333, 0.157], [0.000, 0.000, 0.332], [0.000, 0.000, 0.668], [0.667, 0.333, 0.843], [0.667, 0.333, 0.500]]
}



Record 2
{
  "formula": "Y2Hf4Au3C3",
  "functional": "GGA-PBE",
  "state": "optimized geometry",
  "volume_a3_per_atom": 17.66,
  "dft_energy_ha_per_atom": -0.3019,
  "total_magnetization_mub_per_atom": 0.00,
  "space_group": "C2/c, No. 15",
  "cell": [[5.042, -2.912, 0.000], [5.042, 2.912, 0.000], [-3.496, 0.000, 14.434]],
  "species": ["Au", "Au", "Au", "Au", "Au", "Au", "C", "C", "C", "C", "C", "C", "Hf", "Hf", "Hf", "Hf", "Hf", "Hf", "Hf", "Hf", "Y", "Y", "Y", "Y"],
  "fractional_positions": [[0.586, 0.893, 0.249], [0.064, 0.936, 0.250], [0.107, 0.414, 0.251], [0.893, 0.586, 0.749], [0.936, 0.064, 0.750], [0.414, 0.107, 0.751], [0.500, 0.000, 0.000], [0.151, 0.675, 0.000], [0.325, 0.849, 0.500], [0.000, 0.500, 0.500], [0.675, 0.151, 0.500], [0.849, 0.325, 0.000], [0.203, 0.019, 0.082], [0.853, 0.693, 0.082], [0.307, 0.147, 0.418], [0.981, 0.797, 0.418], [0.019, 0.203, 0.582], [0.693, 0.853, 0.582], [0.147, 0.307, 0.918], [0.797, 0.981, 0.918], [0.539, 0.376, 0.112], [0.624, 0.461, 0.388], [0.376, 0.539, 0.612], [0.461, 0.624, 0.888]]
}



Record 3
{
  "formula": "Hf4ZnAuC2",
  "functional": "GGA-PBE",
  "state": "optimized geometry",
  "volume_a3_per_atom": 16.51,
  "dft_energy_ha_per_atom": -0.3118,
  "total_magnetization_mub_per_atom": 0.00,
  "space_group": "P-6m2, No. 187",
  "cell": [[3.275, 0.000, 0.000], [-1.637, 2.836, 0.000], [0.000, 0.000, 14.218]],
  "species": ["Au", "C", "C", "Hf", "Hf", "Hf", "Hf", "Zn"],
  "fractional_positions": [[0.000, 0.000, 0.500], [0.667, 0.333, 0.250], [0.667, 0.333, 0.750], [0.000, 0.000, 0.161], [0.333, 0.667, 0.340], [0.333, 0.667, 0.660], [0.000, 0.000, 0.839], [0.333, 0.667, 0.000]]
}



Record 4
{
  "formula": "Hf2Zr4Au3C3",
  "functional": "GGA-PBE",
  "state": "optimized geometry",
  "volume_a3_per_atom": 17.01,
  "dft_energy_ha_per_atom": -0.3052,
  "total_magnetization_mub_per_atom": 0.00,
  "space_group": "C2/c, No. 15",
  "cell": [[4.985, -2.874, 0.000], [4.985, 2.874, 0.000], [-3.326, 0.000, 14.246]],
  "species": ["Au", "Au", "Au", "Au", "Au", "Au", "C", "C", "C", "C", "C", "C", "Hf", "Hf", "Hf", "Hf", "Zr", "Zr", "Zr", "Zr", "Zr", "Zr", "Zr", "Zr"],
  "fractional_positions": [[0.414, 0.272, 0.249], [0.101, 0.899, 0.250], [0.728, 0.586, 0.251], [0.272, 0.414, 0.749], [0.899, 0.101, 0.750], [0.586, 0.728, 0.751], [0.665, 0.171, 0.000], [0.000, 0.500, 0.000], [0.335, 0.829, 0.000], [0.171, 0.665, 0.500], [0.500, 0.000, 0.500], [0.829, 0.335, 0.500], [0.360, 0.529, 0.087], [0.471, 0.640, 0.413], [0.529, 0.360, 0.587], [0.640, 0.471, 0.913], [0.697, 0.866, 0.092], [0.033, 0.195, 0.092], [0.805, 0.967, 0.408], [0.134, 0.303, 0.408], [0.866, 0.697, 0.592], [0.195, 0.033, 0.592], [0.967, 0.805, 0.908], [0.303, 0.134, 0.908]]
}



Record 5
{
  "formula": "Nb4InAuC2",
  "functional": "GGA-PBE",
  "state": "optimized geometry",
  "volume_a3_per_atom": 15.63,
  "dft_energy_ha_per_atom": -0.3128,
  "total_magnetization_mub_per_atom": 0.00,
  "space_group": "P-6m2, No. 187",
  "cell": [[3.188, 0.000, 0.000], [-1.594, 2.761, 0.000], [0.000, 0.000, 14.203]],
  "species": ["Au", "C", "C", "In", "Nb", "Nb", "Nb", "Nb"],
  "fractional_positions": [[0.000, 0.000, 0.000], [0.667, 0.333, 0.244], [0.667, 0.333, 0.756], [0.333, 0.667, 0.500], [0.333, 0.667, 0.160], [0.000, 0.000, 0.329], [0.000, 0.000, 0.671], [0.333, 0.667, 0.840]]
}



Record 6
{
  "formula": "Sc4InAuC2",
  "functional": "GGA-PBE",
  "state": "optimized geometry",
  "volume_a3_per_atom": 17.79,
  "dft_energy_ha_per_atom": -0.2499,
  "total_magnetization_mub_per_atom": 0.02,
  "space_group": "P-6m2, No. 187",
  "cell": [[-0.336, 2.438, -2.322], [-2.694, -1.040, 1.764], [2.729, 9.915, 10.013]],
  "species": ["Au", "C", "C", "In", "Sc", "Sc", "Sc", "Sc"],
  "fractional_positions": [[0.000, 0.000, 0.000], [0.333, 0.667, 0.235], [0.333, 0.667, 0.765], [0.667, 0.333, 0.500], [0.667, 0.333, 0.152], [0.000, 0.000, 0.321], [0.000, 0.000, 0.679], [0.667, 0.333, 0.848]]
}



Record 7
{
  "formula": "Ir3AuC",
  "functional": "GGA-PBE",
  "state": "optimized geometry",
  "volume_a3_per_atom": 14.09,
  "dft_energy_ha_per_atom": -0.2665,
  "total_magnetization_mub_per_atom": 0.00,
  "space_group": "Pm-3m, No. 221",
  "cell": [[4.130, 0.000, 0.000], [0.000, 4.130, 0.000], [0.000, 0.000, 4.130]],
  "species": ["Au", "C", "Ir", "Ir", "Ir"],
  "fractional_positions": [[0.000, 0.000, 0.000], [0.500, 0.500, 0.500], [0.500, 0.500, 0.000], [0.500, 0.000, 0.500], [0.000, 0.500, 0.500]]
}



Record 8
{
  "formula": "Y2IrAuC",
  "functional": "GGA-PBE",
  "state": "optimized geometry",
  "volume_a3_per_atom": 19.53,
  "dft_energy_ha_per_atom": -0.2778,
  "total_magnetization_mub_per_atom": 0.00,
  "space_group": "P4/mmm, No. 123",
  "cell": [[5.025, 0.000, 0.000], [0.000, 5.025, 0.000], [0.000, 0.000, 3.868]],
  "species": ["Au", "C", "Ir", "Y", "Y"],
  "fractional_positions": [[0.500, 0.500, 0.500], [0.000, 0.000, 0.000], [0.000, 0.000, 0.500], [0.500, 0.000, 0.000], [0.000, 0.500, 0.000]]
}